A relaxed structure of Ba2ThHgTe5. Source: the Alexandria database, functional PBE.

Results
Space group: Cmc2_1, No. 36
Final energy: -4.279 eV per atom
Formation energy (no corrections): -1.25 eV/atom
Magnetic moment: 0.00 μB per cell

POSCAR file:
```
Ba2ThHgTe5
1.0
4.659 0.000 0.000
-2.329 10.238 0.000
0.000 0.000 14.333
Ba Te Hg Th
4 10 2 2
Direct
0.114 0.228 0.686
0.886 0.772 0.186
0.875 0.750 0.818
0.125 0.250 0.318
0.645 0.291 0.505
0.709 0.419 0.162
0.695 0.390 0.863
0.052 0.105 0.063
0.355 0.709 0.005
0.305 0.610 0.363
0.502 0.005 0.267
0.948 0.895 0.563
0.498 0.995 0.767
0.291 0.581 0.662
0.548 0.096 0.946
0.452 0.904 0.446
0.204 0.408 0.014
0.796 0.592 0.514
```